# 1
Material: AcPm2Tc
Method: DFT, PBE
State: optimized geometry

Summary:
Distance to the lowest polymorph of the same formula = 0 meV per atom
Energy relative to the elements = 0.16 eV per formula unit
Symmetry = P2_1/m (11)

Cell lengths 4.1338, 6.6859, 9.5150 Å; angles 90.00, 90.00, 107.98 degrees
With the nearest neighbours (Å) after each atom.
Fractional coordinates of all 8 atoms:
Ac (0.4265, 0.8519, 0.2500)  2 Tc 2.97-2.98
Ac (0.5735, 0.1481, 0.7500)  2 Tc 2.97-2.98
Pm (0.1510, 0.3021, 0.4278)  3 Tc 2.99-3.28
Pm (0.8490, 0.6979, 0.5722)  3 Tc 2.99-3.28
Pm (0.1510, 0.3021, 0.0722)  3 Tc 2.99-3.28
Pm (0.8490, 0.6979, 0.9278)  3 Tc 2.99-3.28
Tc (0.2414, 0.4845, 0.7500)  2 Ac 2.97-2.98, 6 Pm 2.99-3.28
Tc (0.7586, 0.5155, 0.2500)  2 Ac 2.97-2.98, 6 Pm 2.99-3.28


# 2
Material: Sr2NbSi2
Method: DFT, PBE
State: optimized geometry

Summary:
Distance to the lowest polymorph of the same formula = 0 meV per atom
Symmetry = P4/mbm (127)
Formation energy without anion corrections = -0.14 eV per formula unit

Cell lengths 7.1580, 7.1580, 4.8984 Å; angles 90.00, 90.00, 90.00 degrees
With the nearest neighbours (Å) after each atom.
Fractional coordinates of all 10 atoms:
Nb (0.5000, 0.5000, 0.0000)  4 Si 2.83
Nb (0.0000, 0.0000, 0.0000)  4 Si 2.83
Sr (0.8234, 0.3234, 0.5000)  6 Si 3.16-3.29
Sr (0.3234, 0.1766, 0.5000)  6 Si 3.16-3.29
Sr (0.1766, 0.6766, 0.5000)  6 Si 3.16-3.29
Sr (0.6766, 0.8234, 0.5000)  6 Si 3.16-3.29
Si (0.6257, 0.1257, 0.0000)  1 Si 2.55, 2 Nb 2.83
Si (0.1257, 0.3743, 0.0000)  1 Si 2.55, 2 Nb 2.83
Si (0.8743, 0.6257, 0.0000)  1 Si 2.55, 2 Nb 2.83
Si (0.3743, 0.8743, 0.0000)  1 Si 2.55, 2 Nb 2.83


# 3
Material: Ga2AgIr2
Method: DFT, PBE
State: optimized geometry

Summary:
Distance to the lowest polymorph of the same formula = 251 meV per atom
Energy relative to the elements = 0.08 eV per formula unit
Symmetry = I4/mmm (139)

Cell lengths 3.9455, 3.9455, 6.2622 Å; angles 71.64, 71.64, 90.00 degrees
With the nearest neighbours (Å) after each atom.
Fractional coordinates of all 5 atoms:
Ga (0.2500, 0.7500, 0.5000)  4 Ir 2.50, 4 Ga 2.79
Ga (0.7500, 0.2500, 0.5000)  4 Ir 2.50, 4 Ga 2.79
Ir (0.3864, 0.3864, 0.2272)  4 Ga 2.50, 1 Ir 2.55
Ir (0.6136, 0.6136, 0.7728)  4 Ga 2.50, 1 Ir 2.55
Ag (0.0000, 0.0000, 0.0000)  8 Ir 3.07, 8 Ga 3.43


# 4
Material: PmBe2AlAu5
Method: DFT, PBE
State: optimized geometry

Summary:
Energy relative to the elements = -2.50 eV per formula unit
Symmetry = P4/mmm (123)

Cell lengths 4.3914, 4.3914, 8.8747 Å; angles 90.00, 90.00, 90.00 degrees
With the nearest neighbours (Å) after each atom.
Fractional coordinates of all 9 atoms:
Au (0.5000, 0.0000, 0.8288)  2 Be 2.30
Au (0.5000, 0.5000, 0.5000)  2 Be 2.22
Au (0.5000, 0.0000, 0.1712)  2 Be 2.30
Au (0.0000, 0.5000, 0.1712)  2 Be 2.30
Au (0.0000, 0.5000, 0.8288)  2 Be 2.30
Be (0.5000, 0.5000, 0.7500)  5 Au 2.22-2.30
Be (0.5000, 0.5000, 0.2500)  5 Au 2.22-2.30
Al (0.0000, 0.0000, 0.0000)  8 Au 2.67
Pm (0.0000, 0.0000, 0.5000)  4 Au 3.11


# 5
Material: PrZn2GaPt
Method: DFT, PBE
State: optimized geometry

Summary:
Energy relative to the elements = -2.95 eV per formula unit
Symmetry = Imm2 (44)

Cell lengths 4.0991, 4.3336, 6.2064 Å; angles 110.43, 109.28, 90.00 degrees
With the nearest neighbours (Å) after each atom.
Fractional coordinates of all 5 atoms:
Pr (0.4434, 0.4434, 0.8867)  8 Zn 3.23-3.50, 4 Ga 3.24, 4 Pt 3.36-3.52
Zn (0.0579, 0.0579, 0.1158)  1 Ga 2.52, 2 Zn 2.54, 2 Pt 2.59
Zn (0.6961, 0.1961, 0.3923)  2 Zn 2.54, 2 Ga 2.59
Ga (0.8265, 0.8265, 0.6530)  3 Zn 2.52-2.59, 2 Pt 2.54
Pt (0.1882, 0.6882, 0.3764)  2 Ga 2.54, 2 Zn 2.59


# 6
Material: Rb3In2GaI6
Method: DFT, PBE
State: optimized geometry

Summary:
Symmetry = C2/m (12)
Formation energy without anion corrections = -11.29 eV per formula unit

Cell lengths 5.0947, 10.2000, 11.3889 Å; angles 102.78, 102.92, 90.00 degrees
With the nearest neighbours (Å) after each atom.
Fractional coordinates of all 12 atoms:
In (0.8362, 0.6717, 0.6724)  6 I 3.50-3.61
In (0.1638, 0.3283, 0.3276)  6 I 3.50-3.61
Rb (0.8315, 0.1685, 0.6630)  6 I 3.67-3.75
Rb (0.1685, 0.8315, 0.3370)  6 I 3.67-3.75
Rb (0.5000, 0.5000, 0.0000)  6 I 3.66-3.76
I (0.3306, 0.4275, 0.6612)  3 In 3.55-3.61, 3 Rb 3.66-3.67
I (0.0021, 0.2301, 0.0042)  2 Ga 3.46, 1 In 3.50, 3 Rb 3.70-3.76
I (0.3418, 0.9148, 0.6835)  1 Ga 3.42, 2 In 3.54, 3 Rb 3.68-3.75
I (0.6694, 0.5725, 0.3388)  3 In 3.55-3.61, 3 Rb 3.66-3.67
I (0.9979, 0.7699, 0.9958)  2 Ga 3.46, 1 In 3.50, 3 Rb 3.70-3.76
I (0.6582, 0.0852, 0.3165)  1 Ga 3.42, 2 In 3.54, 3 Rb 3.68-3.75
Ga (0.5000, 0.0000, 0.0000)  6 I 3.42-3.46


# 7
Material: NiHgMo4
Method: DFT, PBE
State: optimized geometry

Summary:
Energy relative to the elements = 3.60 eV per formula unit
Symmetry = F-43m (216)

Cell lengths 5.2299, 5.2299, 5.2299 Å; angles 60.00, 60.00, 60.00 degrees
With the nearest neighbours (Å) after each atom.
Fractional coordinates of all 6 atoms:
Ni (0.7500, 0.7500, 0.7500)  12 Mo 3.07, 4 Hg 3.20
Mo (0.8734, 0.3755, 0.3755)  6 Mo 2.60-2.63
Mo (0.3755, 0.3755, 0.3755)  6 Mo 2.60-2.63
Mo (0.3755, 0.3755, 0.8734)  6 Mo 2.60-2.63
Mo (0.3755, 0.8734, 0.3755)  6 Mo 2.60-2.63
Hg (0.0000, 0.0000, 0.0000)  12 Mo 3.07, 4 Ni 3.20


# 8
Material: Pu2SnSb3Rh4
Method: DFT, PBE
State: optimized geometry

Summary:
Symmetry = P-4m2 (115)
Formation energy without anion corrections = -5.59 eV per formula unit

Cell lengths 4.4384, 4.4384, 10.8287 Å; angles 90.00, 90.00, 90.00 degrees
With the nearest neighbours (Å) after each atom.
Fractional coordinates of all 10 atoms:
Rh (0.5000, 0.0000, 0.6316)  3 Sb 2.55-2.64, 2 Sn 2.64
Rh (0.5000, 0.5000, 0.0000)  4 Sb 2.64
Rh (0.0000, 0.0000, 0.0000)  4 Sb 2.64
Rh (0.0000, 0.5000, 0.3684)  3 Sb 2.55-2.64, 2 Sn 2.64
Sb (0.0000, 0.5000, 0.1328)  5 Rh 2.55-2.64
Sb (0.0000, 0.0000, 0.5000)  4 Rh 2.64
Sb (0.5000, 0.0000, 0.8672)  5 Rh 2.55-2.64
Pu (0.5000, 0.0000, 0.2486)  6 Sb 3.38-3.51, 8 Rh 3.40-3.49, 2 Sn 3.51
Pu (0.0000, 0.5000, 0.7514)  6 Sb 3.38-3.51, 8 Rh 3.40-3.49, 2 Sn 3.51
Sn (0.5000, 0.5000, 0.5000)  4 Rh 2.64